Density functional theory data (PBE+U) for a relaxed structure of VRuPbO6.

Results
calculated total energy	-6.90	eV/atom
total magnetization	0.33	μB per atom

Cell: 5.1827 5.1827 5.3338 Å, 90.00 90.00 60.00°
Closest atoms and distances in Å follow each position.
Element x y z (fractional)
O1 0.9912 0.6214 0.7051  1 Ru 1.92, 1 V 2.01
V1 0.6667 0.6667 0.4714  6 O 1.83-2.01
O2 0.3818 0.6265 0.3022  1 V 1.83, 1 Ru 2.03
Pb1 0.0000 0.0000 0.9864  6 O 2.49-2.58
Ru1 0.3333 0.3333 0.5200  6 O 1.92-2.03
O3 0.6265 0.9917 0.3022  1 V 1.83, 1 Ru 2.03
O4 0.6213 0.3874 0.7051  1 Ru 1.92, 1 V 2.01
O5 0.3873 0.9912 0.7051  1 Ru 1.92, 1 V 2.01
O6 0.9916 0.3818 0.3022  1 V 1.83, 1 Ru 2.03